DFT (GGA-PBE) results for crystalline Ce2PuHg3 at its relaxed geometry.

Values from the calculation:
* formation enthalpy at 0 K: -0.229 eV/atom
* mass density: 11.4 g/cm3
* symmetry: P4/mmm
* M_tot: 1.430 μB/atom
* uncorrected energy: -28.48 eV for the cell shown

Cell lengths 3.9758, 3.9758, 10.3795 Å; angles 90.00, 90.00, 90.00 degrees
Atoms (fractional coordinates):
Ce  0.5000  0.5000  0.8284
Ce  0.5000  0.5000  0.1716
Hg  0.0000  0.0000  0.6638
Hg  0.0000  0.0000  0.3362
Hg  0.0000  0.0000  0.0000
Pu  0.5000  0.5000  0.5000

=====

DFT (GGA-PBE) results for crystalline CePuHgRu at its relaxed geometry.

Values from the calculation:
* formation enthalpy at 0 K: -0.087 eV/atom
* mass density: 12.2 g/cm3
* polymorph energy (0 for the lowest one): 158 meV/atom
* symmetry: F-43m
* M_tot: 1.473 μB/atom
* uncorrected energy: -30.19 eV for the cell shown

Cell lengths 5.0865, 5.0865, 5.0865 Å; angles 60.00, 60.00, 60.00 degrees
Atoms (fractional coordinates):
Ce  0.0000  0.0000  0.0000
Pu  0.5000  0.5000  0.5000
Ru  0.7500  0.7500  0.7500
Hg  0.2500  0.2500  0.2500